(1)
Here is an optimized crystal structure of SrSi2Pt from Alexandria. Energies are from GGA-PBE.

Lattice parameters (Å, degrees): 8.8932 8.8932 8.8932 148.45 148.45 45.22
Closest atoms and distances in Å follow each position.
Fractional positions:
1 Sr 0.3750 0.6250 0.7500  8 Si 3.39, 4 Pt 3.42
2 Sr 0.6250 0.3750 0.2500  8 Si 3.39, 4 Pt 3.42
3 Si 0.0000 0.0000 0.0000  2 Pt 2.38, 2 Si 2.42
4 Si 0.0000 0.0000 0.5000  2 Pt 2.38, 2 Si 2.42
5 Si 0.0000 0.5000 0.0000  2 Pt 2.38, 2 Si 2.42
6 Si 0.5000 0.0000 0.5000  2 Pt 2.38, 2 Si 2.42
7 Pt 0.1250 0.8750 0.2500  4 Si 2.38
8 Pt 0.8750 0.1250 0.7500  4 Si 2.38

Summary:
For the volume, the calculation gives 24.0 Å³ per atom. The calculation puts the density of states at the Fermi level at 0.230 states/eV/atom. The value obtained for the uncorrected formation energy is -552 meV per atom. As for the mass density: 5.864 g cm⁻³.

(2)
Here is an optimized crystal structure of HoScTe2 from Alexandria. Energies are from GGA-PBE.

Lattice parameters (Å, degrees): 5.2399 5.2399 3.7132 90.00 90.00 90.00
Closest atoms and distances in Å follow each position.
Fractional positions:
1 Ho 0.0000 0.0000 0.0000  8 Te 3.21
2 Sc 0.5000 0.5000 0.0000  8 Te 3.21
3 Te 0.0000 0.5000 0.5000  4 Sc 3.21, 4 Ho 3.21
4 Te 0.5000 0.0000 0.5000  4 Sc 3.21, 4 Ho 3.21

Summary:
The calculation puts the offset from the most stable computed form at 0.73 eV/f.u. For the volume, the calculation gives 25.5 Å³ per atom. The calculation puts the density of states at the Fermi level at 0.524 states/eV/atom. The value obtained for the uncorrected formation energy is -1026 meV per atom. As for the mass density: 7.575 g cm⁻³.

Question: Which value of mass density does entry 2 give?
Answer: 7.575 g cm⁻³